# LiTlAu2 | the Alexandria database | SCAN | PBEsol geometry
# DFT formation energy (meV per atom): -273
# Density of states at the Fermi level (states/eV per atom): 0.287
data_LiTlAu2
_chemical_formula_sum 'Li4 Tl4 Au8'
_symmetry_space_group_name_H-M 'F -4 3 m'
_symmetry_Int_Tables_number 216
_symmetry_space_group_name_Hall 'F -4 2 3'
_cell_length_a 6.609
_cell_length_b 6.609
_cell_length_c 6.609
_cell_angle_alpha 90.00
_cell_angle_beta 90.00
_cell_angle_gamma 90.00
loop_
_atom_site_label
_atom_site_type_symbol
_atom_site_fract_x
_atom_site_fract_y
_atom_site_fract_z
Li1 Li 0.000 0.000 0.000
Tl1 Tl 0.250 0.250 0.250
Au1 Au 0.000 0.000 0.500
Au2 Au 0.250 0.250 0.750